1.
# Sr8ZnN2

Crystalline Sr8ZnN2 at its relaxed geometry (PBE, Alexandria via LeMat-Bulk).

a = 7.4123 Å, b = 8.7157 Å, c = 8.7157 Å
α = 60.50°, β = 95.88°, γ = 95.88°
Last column: nearest neighbours and their distance in Å.
Fractional positions:
N (0.6396, 0.1805, 0.1805)  4 Sr 2.36-2.39
N (0.3604, 0.8194, 0.8194)  4 Sr 2.36-2.39
Sr (0.3161, 0.1685, 0.1685)  1 N 2.38
Sr (0.7430, 0.8884, 0.3219)  1 N 2.39
Sr (0.2352, 0.6680, 0.6680)  1 N 2.36
Sr (0.7430, 0.3219, 0.8884)  1 N 2.39
Sr (0.6839, 0.8315, 0.8315)  1 N 2.38
Sr (0.2570, 0.1116, 0.6781)  1 N 2.39
Sr (0.2570, 0.6781, 0.1116)  1 N 2.39
Sr (0.7648, 0.3320, 0.3320)  1 N 2.36
Zn (0.0000, 0.0000, 0.0000)  6 Sr 3.24

Output
The crystal system is monoclinic. The calculation puts the total energy at -3.093 eV per atom.


2.
# Sr4Zn2N

Crystalline Sr4Zn2N at its relaxed geometry (PBE, Alexandria via LeMat-Bulk).

a = 5.2027 Å, b = 5.2027 Å, c = 8.9752 Å
α = 73.15°, β = 73.15°, γ = 90.00°
Last column: nearest neighbours and their distance in Å.
Fractional positions:
Sr (0.5000, 0.0000, 0.0000)  2 N 2.60
Sr (0.0000, 0.5000, 0.0000)  2 N 2.60
Sr (0.8365, 0.8365, 0.3270)  1 N 2.68
Sr (0.1635, 0.1635, 0.6730)  1 N 2.68
N (0.0000, 0.0000, 0.0000)  6 Sr 2.60-2.68
Zn (0.6362, 0.6362, 0.7277)  5 Sr 3.28-3.43
Zn (0.3638, 0.3638, 0.2723)  5 Sr 3.28-3.43

Output
The crystal system is tetragonal. The calculation puts the total energy at -2.742 eV per atom.


3.
# Sr6Zn2N

Crystalline Sr6Zn2N at its relaxed geometry (PBE, Alexandria via LeMat-Bulk).

a = 7.4229 Å, b = 8.1225 Å, c = 10.6408 Å
α = 90.00°, β = 88.03°, γ = 90.00°
Last column: nearest neighbours and their distance in Å.
Fractional positions:
Sr (0.8405, 0.7158, 0.4483)  1 N 2.66
Sr (0.2938, 0.8310, 0.5508)  1 N 2.65
Sr (0.6089, 0.4739, 0.7661)  1 N 2.60
Sr (0.1595, 0.2842, 0.5517)  1 N 2.66
Sr (0.6595, 0.2158, 0.0517)  1 N 2.66
Sr (0.7062, 0.1690, 0.4492)  1 N 2.65
Sr (0.2062, 0.3310, 0.9492)  1 N 2.65
Sr (0.3911, 0.5261, 0.2339)  1 N 2.60
Sr (0.3405, 0.7842, 0.9483)  1 N 2.66
Sr (0.8911, 0.9739, 0.7339)  1 N 2.60
Sr (0.1089, 0.0261, 0.2661)  1 N 2.60
Sr (0.7938, 0.6690, 0.0508)  1 N 2.65
Zn (0.5360, 0.9086, 0.2477)  7 Sr 3.29-3.69
Zn (0.4640, 0.0914, 0.7523)  7 Sr 3.29-3.69
Zn (0.0360, 0.5914, 0.7477)  7 Sr 3.29-3.69
Zn (0.9640, 0.4086, 0.2523)  7 Sr 3.29-3.69
N (0.5000, 0.5000, 0.0000)  6 Sr 2.60-2.66
N (0.0000, 0.0000, 0.5000)  6 Sr 2.60-2.66

Output
The energy above the most stable polymorph in this dataset comes out at 0.000 eV per atom. The crystal system is monoclinic. The calculation puts the total energy at -2.585 eV per atom.


4.
# Sr3ZnN

Crystalline Sr3ZnN at its relaxed geometry (PBE, Alexandria via LeMat-Bulk).

a = 5.2688 Å, b = 5.2688 Å, c = 5.2688 Å
α = 90.00°, β = 90.00°, γ = 90.00°
Last column: nearest neighbours and their distance in Å.
Fractional positions:
Sr (0.0000, 0.0000, 0.5000)  2 N 2.63
Sr (0.0000, 0.5000, 0.0000)  2 N 2.63
Sr (0.5000, 0.0000, 0.0000)  2 N 2.63
N (0.0000, 0.0000, 0.0000)  6 Sr 2.63
Zn (0.5000, 0.5000, 0.5000)  12 Sr 3.73

Output
The energy above the most stable polymorph in this dataset comes out at 0.000 eV per atom. The crystal system is cubic. The calculation puts the total energy at -3.258 eV per atom.


5.
# SrZn2N2

Crystalline SrZn2N2 at its relaxed geometry (PBE, Alexandria via LeMat-Bulk).

a = 5.9960 Å, b = 5.9960 Å, c = 5.9960 Å
α = 112.99°, β = 112.99°, γ = 102.65°
Last column: nearest neighbours and their distance in Å.
Fractional positions:
Zn (0.8669, 0.6331, 0.5000)  3 N 1.89-1.99
Zn (0.3669, 0.8669, 0.2338)  3 N 1.89-1.99
Zn (0.6331, 0.1331, 0.7662)  3 N 1.89-1.99
Zn (0.1331, 0.3669, 0.5000)  3 N 1.89-1.99
N (0.6654, 0.8346, 0.5000)  3 Zn 1.89-1.99
N (0.1654, 0.6654, 0.8309)  3 Zn 1.89-1.99
N (0.8346, 0.3346, 0.1691)  3 Zn 1.89-1.99
N (0.3346, 0.1654, 0.5000)  3 Zn 1.89-1.99
Sr (0.7500, 0.7500, 0.0000)  8 N 3.10, 8 Zn 3.19
Sr (0.2500, 0.2500, 0.0000)  8 N 3.10, 8 Zn 3.19

Output
The crystal system is tetragonal. The calculation puts the total energy at -4.304 eV per atom.


6.
# Sr2ZnN

Crystalline Sr2ZnN at its relaxed geometry (PBE, Alexandria via LeMat-Bulk).

a = 5.0939 Å, b = 5.0939 Å, c = 5.0939 Å
α = 60.00°, β = 60.00°, γ = 60.00°
Last column: nearest neighbours and their distance in Å.
Fractional positions:
Zn (0.5000, 0.5000, 0.5000)  8 Sr 3.12
Sr (0.7500, 0.7500, 0.7500)  4 Zn 3.12, 4 N 3.12
Sr (0.2500, 0.2500, 0.2500)  4 Zn 3.12, 4 N 3.12
N (0.0000, 0.0000, 0.0000)  8 Sr 3.12

Output
The energy above the most stable polymorph in this dataset comes out at 0.480 eV per atom. The crystal system is cubic. The calculation puts the total energy at -3.001 eV per atom.


7.
# Sr6ZnN2

Crystalline Sr6ZnN2 at its relaxed geometry (PBE, Alexandria via LeMat-Bulk).

a = 4.6650 Å, b = 7.7191 Å, c = 9.9744 Å
α = 99.36°, β = 90.00°, γ = 107.59°
Last column: nearest neighbours and their distance in Å.
Fractional positions:
N (0.2488, 0.4975, 0.1589)  5 Sr 2.40-2.62
N (0.7512, 0.5025, 0.8411)  5 Sr 2.40-2.62
Sr (0.6497, 0.2995, 0.6125)  1 N 2.50
Sr (0.1007, 0.2014, 0.2282)  1 N 2.40
Sr (0.8993, 0.7986, 0.7718)  1 N 2.40
Sr (0.1926, 0.3852, 0.8955)  3 N 2.58-2.62
Sr (0.8074, 0.6148, 0.1045)  3 N 2.58-2.62
Sr (0.3503, 0.7005, 0.3875)  1 N 2.50
Zn (0.0000, 0.0000, 0.5000)  6 Sr 3.27-3.30

Output
The crystal system is monoclinic. The calculation puts the total energy at -3.422 eV per atom.


8.
# Sr3ZnN3

Crystalline Sr3ZnN3 at its relaxed geometry (PBE, Alexandria via LeMat-Bulk).

a = 5.3529 Å, b = 7.6724 Å, c = 7.6724 Å
α = 120.00°, β = 90.00°, γ = 90.00°
Last column: nearest neighbours and their distance in Å.
Fractional positions:
Sr (0.2500, 0.0674, 0.7110)  5 N 2.58-2.72
Sr (0.7500, 0.7110, 0.6436)  5 N 2.58-2.72
Sr (0.2500, 0.2890, 0.3564)  5 N 2.58-2.72
Sr (0.2500, 0.6436, 0.9326)  5 N 2.58-2.72
Sr (0.7500, 0.3564, 0.0674)  5 N 2.58-2.72
Sr (0.7500, 0.9326, 0.2890)  5 N 2.58-2.72
Zn (0.7500, 0.3333, 0.6667)  3 N 1.99
Zn (0.2500, 0.6667, 0.3333)  3 N 1.99
N (0.7500, 0.3092, 0.3961)  1 Zn 1.99
N (0.7500, 0.6039, 0.9130)  1 Zn 1.99
N (0.2500, 0.3961, 0.0870)  1 Zn 1.99
N (0.2500, 0.6908, 0.6039)  1 Zn 1.99
N (0.7500, 0.0870, 0.6908)  1 Zn 1.99
N (0.2500, 0.9130, 0.3092)  1 Zn 1.99

Output
The crystal system is hexagonal. The calculation puts the total energy at -4.876 eV per atom.